# 1
A plane-wave DFT calculation with GGA-PBEsol was carried out for a relaxed structure of Li3NF.

Computed properties:
- SG: No. 221
- Theoretical density: 1.96 Mg/m³
- Final energy: -21.38 eV/f.u.
- Formation energy without anion corrections: -1.01 eV per atom

a = 3.5728 Å, b = 3.5728 Å, c = 3.5728 Å
α = 90.00°, β = 90.00°, γ = 90.00°
Last column: nearest neighbours and their distance in Å.
Fractional coordinates of all 5 atoms:
F  0.0000  0.0000  0.0000  6 Li 1.79
Li  0.0000  0.5000  0.0000  2 F 1.79
N  0.5000  0.5000  0.5000  12 Li 2.53
Li  0.5000  0.0000  0.0000  2 F 1.79
Li  0.0000  0.0000  0.5000  2 F 1.79

# 2
A plane-wave DFT calculation with GGA-PBEsol was carried out for a relaxed structure of TeHPt2Pb.

Computed properties:
- SG: No. 123
- Theoretical density: 8.39 Mg/m³
- Final energy: -18.80 eV/f.u.

a = 4.8935 Å, b = 4.8935 Å, c = 6.0011 Å
α = 90.00°, β = 90.00°, γ = 90.00°
Last column: nearest neighbours and their distance in Å.
Fractional coordinates of all 5 atoms:
H  0.5000  0.5000  0.5000  4 Pb 3.46, 8 Pt 3.87
Pb  0.0000  0.0000  0.5000  2 Te 3.00
Pt  0.0000  0.5000  0.0000  2 Te 2.45
Te  0.0000  0.0000  0.0000  4 Pt 2.45
Pt  0.5000  0.0000  0.0000  2 Te 2.45

# 3
A plane-wave DFT calculation with GGA-PBEsol was carried out for a relaxed structure of KCrSeN2.

Computed properties:
- SG: No. 123
- Theoretical density: 2.48 Mg/m³
- Final energy: -20.21 eV/f.u.
- Formation energy without anion corrections: 2.41 eV per atom

a = 4.6108 Å, b = 4.6108 Å, c = 6.2349 Å
α = 90.00°, β = 90.00°, γ = 90.00°
Last column: nearest neighbours and their distance in Å.
Fractional coordinates of all 5 atoms:
Se  0.0000  0.0000  0.5000  2 K 3.12, 4 Cr 3.26
N  0.0000  0.5000  0.0000  2 K 2.31
N  0.5000  0.0000  0.0000  2 K 2.31
K  0.0000  0.0000  0.0000  4 N 2.31
Cr  0.5000  0.5000  0.5000  4 Se 3.26

# 4
A plane-wave DFT calculation with GGA-PBEsol was carried out for a relaxed structure of Mg3Bi2.

Computed properties:
- SG: No. 164
- ΔE_f: -0.226 eV/atom
- Theoretical density: 5.87 Mg/m³
- Energy relative to the lowest polymorph listed for this composition: 0.000 eV per atom
- Final energy: -14.85 eV/f.u.

a = 4.6705 Å, b = 4.6705 Å, c = 7.3539 Å
α = 90.00°, β = 90.00°, γ = 120.00°
Last column: nearest neighbours and their distance in Å.
Fractional coordinates of all 5 atoms:
Mg  0.6667  0.3333  0.3716  4 Bi 2.92-3.02
Mg  0.3333  0.6667  0.6284  4 Bi 2.92-3.02
Bi  0.3333  0.6667  0.2181  7 Mg 2.92-3.14
Bi  0.6667  0.3333  0.7819  7 Mg 2.92-3.14
Mg  0.0000  0.0000  0.0000  6 Bi 3.14

# 5
A plane-wave DFT calculation with GGA-PBEsol was carried out for a relaxed structure of MnMo2Ir.

Computed properties:
- SG: No. 99
- ΔE_f: 0.079 eV/atom
- Theoretical density: 12.83 Mg/m³
- Energy relative to the lowest polymorph listed for this composition: 0.127 eV per atom
- Final energy: -42.81 eV/f.u.

a = 3.1157 Å, b = 3.1157 Å, c = 5.8541 Å
α = 90.00°, β = 90.00°, γ = 90.00°
Last column: nearest neighbours and their distance in Å.
Fractional coordinates of all 4 atoms:
Ir  0.0000  0.0000  0.5105  4 Mn 2.64, 5 Mo 2.69-2.77
Mn  0.5000  0.5000  0.7580  5 Mo 2.57-2.87, 4 Ir 2.64
Mo  0.0000  0.0000  0.9839  4 Mn 2.57, 4 Mo 2.69, 1 Ir 2.77
Mo  0.5000  0.5000  0.2477  4 Ir 2.69, 4 Mo 2.69, 2 Mn 2.87-2.99

# 6
A plane-wave DFT calculation with GGA-PBEsol was carried out for a relaxed structure of Cu2AgSb.

Computed properties:
- SG: No. 25
- Theoretical density: 9.24 Mg/m³
- Final energy: -15.83 eV/f.u.
- Formation energy without anion corrections: 0.18 eV per atom

a = 3.2265 Å, b = 3.6521 Å, c = 5.4422 Å
α = 90.00°, β = 90.00°, γ = 90.00°
Last column: nearest neighbours and their distance in Å.
Fractional coordinates of all 4 atoms:
Cu  0.0000  0.0000  0.0022  2 Sb 2.60-2.85, 4 Ag 2.73, 4 Cu 2.76
Ag  0.5000  0.5000  0.7771  5 Cu 2.53-2.73
Cu  0.5000  0.5000  0.2415  1 Ag 2.53, 4 Sb 2.76, 4 Cu 2.76
Sb  0.0000  0.0000  0.4792  6 Cu 2.60-2.85

# 7
A plane-wave DFT calculation with GGA-PBEsol was carried out for a relaxed structure of La4Co.

Computed properties:
- SG: No. 87
- ΔE_f: 0.018 eV/atom
- Theoretical density: 7.02 Mg/m³
- Final energy: -29.03 eV/f.u.

a = 3.5704 Å, b = 6.6271 Å, c = 6.6271 Å
α = 85.84°, β = 74.37°, γ = 74.37°
Last column: nearest neighbours and their distance in Å.
Fractional coordinates of all 5 atoms:
La  0.4337  0.8174  0.3152  2 Co 2.93
La  0.2511  0.3152  0.1826  2 Co 2.93
La  0.7489  0.6848  0.8174  2 Co 2.93
La  0.5663  0.1826  0.6848  2 Co 2.93
Co  0.0000  0.0000  0.0000  8 La 2.93

# 8
A plane-wave DFT calculation with GGA-PBEsol was carried out for a relaxed structure of CaTaTcIr2.

Computed properties:
- SG: No. 123
- ΔE_f: 0.977 eV/atom
- Theoretical density: 10.99 Mg/m³
- Final energy: -40.71 eV/f.u.

a = 4.6476 Å, b = 4.7828 Å, c = 4.7828 Å
α = 90.00°, β = 90.00°, γ = 90.00°
Last column: nearest neighbours and their distance in Å.
Fractional coordinates of all 5 atoms:
Ca  0.5000  0.5000  0.5000  8 Ir 3.33, 4 Ta 3.38
Ir  0.0000  0.0000  0.5000  2 Tc 2.39
Ir  0.0000  0.5000  0.0000  2 Tc 2.39
Ta  0.5000  0.0000  0.0000  2 Tc 2.32
Tc  0.0000  0.0000  0.0000  2 Ta 2.32, 4 Ir 2.39